[1]
Entry from Alexandria: a relaxed structure of BaPt2Pb (PBE-GGA).

Cell and atoms, written as POSCAR:
```
BaPt2Pb
1.0
0.000 3.658 3.658
3.658 0.000 3.658
3.658 3.658 0.000
Ba Pt Pb
1 2 1
Cartesian
0.000 0.000 0.000 Ba
1.829 1.829 1.829 Pt
3.658 3.658 3.658 Pt
5.487 5.487 5.487 Pb
```

## Properties
* formation energy from the elements: -0.12 eV/f.u.
* E_tot: -4.459 eV/atom

---

[2]
Entry from Alexandria: a relaxed structure of Ce12ThCo6 (PBE-GGA).

Cell and atoms, written as POSCAR:
```
Ce12ThCo6
1.0
5.061 2.922 4.902
-5.061 2.922 4.902
0.000 -5.844 4.902
Ce Th Co
12 1 6
Cartesian
0.000 -2.474 3.811 Ce
-2.143 1.237 3.811 Ce
-1.983 -1.145 6.290 Ce
0.000 -2.290 8.417 Ce
-1.983 1.145 8.417 Ce
-2.143 -1.237 10.896 Ce
2.143 1.237 3.811 Ce
1.983 -1.145 6.290 Ce
0.000 2.290 6.290 Ce
1.983 1.145 8.417 Ce
2.143 -1.237 10.896 Ce
0.000 2.474 10.896 Ce
0.000 0.000 0.000 Th
-3.016 -1.741 8.221 Co
0.000 -3.482 6.485 Co
-3.016 1.741 6.485 Co
3.016 -1.741 8.221 Co
0.000 3.482 8.221 Co
3.016 1.741 6.485 Co
```

## Properties
* formation energy from the elements: 0.37 eV/f.u.
* E_tot: -6.363 eV/atom

---

[3]
Entry from Alexandria: a relaxed structure of Li2ReTe (PBE-GGA).

Cell and atoms, written as POSCAR:
```
Li2ReTe
1.0
1.607 -2.558 0.000
1.607 2.558 0.000
0.000 0.000 9.403
Li Re Te
2 1 1
Cartesian
0.000 0.000 0.000 Li
1.607 0.000 2.546 Li
0.000 0.000 4.736 Re
1.607 0.000 6.886 Te
```

## Properties
* ΔE to the lowest computed polymorph: 0.392 eV per atom
* ΔE_f (raw): 541 meV/atom
* E_tot: -4.314 eV/atom

---

[4]
Entry from Alexandria: a relaxed structure of ZrTi3N (PBE-GGA).

Cell and atoms, written as POSCAR:
```
ZrTi3N
1.0
4.773 0.000 0.000
0.000 4.773 0.000
0.000 0.000 4.773
Zr Ti N
1 3 1
Cartesian
0.000 0.000 0.000 Zr
0.000 0.000 2.386 Ti
0.000 2.386 0.000 Ti
2.386 0.000 0.000 Ti
2.386 2.386 2.386 N
```

## Properties
* ΔE to the lowest computed polymorph: 2.885 eV per atom
* ΔE_f (raw): 2193 meV/atom
* E_tot: -5.919 eV/atom

---

[5]
Entry from Alexandria: a relaxed structure of Cr3Pb (PBE-GGA).

Cell and atoms, written as POSCAR:
```
Cr3Pb
1.0
5.433 0.000 0.000
0.000 5.433 0.000
0.000 0.000 5.433
Cr Pb
3 1
Cartesian
0.000 0.000 2.716 Cr
0.000 2.716 0.000 Cr
2.716 0.000 0.000 Cr
0.000 0.000 0.000 Pb
```

## Properties
* formation energy from the elements: 7.37 eV/f.u.
* E_tot: -6.303 eV/atom

---

[6]
Entry from Alexandria: a relaxed structure of CaGa2SeO (PBE-GGA).

Cell and atoms, written as POSCAR:
```
CaGa2SeO
1.0
4.197 0.000 0.000
0.000 4.197 0.000
0.000 0.000 7.480
Ca Ga Se O
1 2 1 1
Cartesian
0.000 0.000 0.000 Ca
0.000 2.099 3.740 Ga
2.099 0.000 3.740 Ga
2.099 2.099 0.000 Se
2.099 2.099 3.740 O
```

## Properties
* ΔE_f (raw): -676 meV/atom
* E_tot: -3.975 eV/atom

---

[7]
Entry from Alexandria: a relaxed structure of ZrTlSe2Br (PBE-GGA).

Cell and atoms, written as POSCAR:
```
ZrTlSe2Br
1.0
5.342 0.000 0.000
0.000 5.342 0.000
0.000 0.000 5.402
Zr Tl Se Br
1 1 2 1
Cartesian
0.000 0.000 0.000 Zr
2.671 2.671 2.701 Tl
0.000 2.671 2.701 Se
2.671 0.000 2.701 Se
2.671 2.671 0.000 Br
```

## Properties
* ΔE to the lowest computed polymorph: 1.379 eV per atom
* ΔE_f (raw): 463 meV/atom
* E_tot: -3.448 eV/atom

---

[8]
Entry from Alexandria: a relaxed structure of InTeAs2 (PBE-GGA).

Cell and atoms, written as POSCAR:
```
InTeAs2
1.0
4.073 0.000 0.000
0.000 4.073 0.000
0.000 0.000 6.377
In Te As
1 1 2
Cartesian
0.000 0.000 0.000 In
2.037 2.037 0.934 Te
0.000 0.000 3.696 As
2.037 2.037 3.628 As
```

## Properties
* ΔE to the lowest computed polymorph: 0.077 eV per atom
* ΔE_f (raw): 47 meV/atom
* E_tot: -3.747 eV/atom

---

[9]
Entry from Alexandria: a relaxed structure of CsYV2Zn (PBE-GGA).

Cell and atoms, written as POSCAR:
```
CsYV2Zn
1.0
4.940 0.000 0.000
0.000 4.940 0.000
0.000 0.000 5.551
Cs Y V Zn
1 1 2 1
Cartesian
0.000 0.000 0.000 Cs
0.000 0.000 2.776 Y
0.000 2.470 0.000 V
2.470 0.000 0.000 V
2.470 2.470 2.776 Zn
```

## Properties
* formation energy from the elements: 10.71 eV/f.u.
* E_tot: -3.223 eV/atom

---

[10]
Entry from Alexandria: a relaxed structure of Zr12In3Pd (PBE-GGA).

Cell and atoms, written as POSCAR:
```
Zr12In3Pd
1.0
4.446 0.000 0.000
0.000 4.446 0.000
0.000 0.000 17.761
Zr In Pd
12 3 1
Cartesian
0.000 0.000 0.000 Zr
0.000 0.000 4.364 Zr
0.000 0.000 8.880 Zr
0.000 0.000 13.397 Zr
0.000 2.223 2.126 Zr
0.000 2.223 6.641 Zr
0.000 2.223 11.120 Zr
0.000 2.223 15.634 Zr
2.223 0.000 2.126 Zr
2.223 0.000 6.641 Zr
2.223 0.000 11.120 Zr
2.223 0.000 15.634 Zr
2.223 2.223 4.368 In
2.223 2.223 8.880 In
2.223 2.223 13.392 In
2.223 2.223 0.000 Pd
```

## Properties
* formation energy from the elements: -3.76 eV/f.u.
* E_tot: -7.484 eV/atom

---

[11]
Entry from Alexandria: a relaxed structure of CuH2Rh2 (PBE-GGA).

Cell and atoms, written as POSCAR:
```
CuH2Rh2
1.0
2.438 -1.409 0.000
2.438 1.409 0.000
-1.640 0.000 6.761
Cu H Rh
1 2 2
Cartesian
0.000 0.000 0.000 Cu
1.615 0.000 1.340 H
1.622 0.000 5.420 H
-0.003 0.000 4.528 Rh
3.240 0.000 2.233 Rh
```

## Properties
* ΔE to the lowest computed polymorph: 0.010 eV per atom
* E_tot: -5.049 eV/atom

---

[12]
Entry from Alexandria: a relaxed structure of Pm8Pr3Dy (PBE-GGA).

Cell and atoms, written as POSCAR:
```
Pm8Pr3Dy
1.0
-4.433 4.433 5.786
4.433 -4.433 5.786
4.433 4.433 -5.786
Pm Pr Dy
8 3 1
Cartesian
3.336 3.336 -2.923 Pm
2.188 2.188 -0.085 Pm
2.244 -2.244 5.871 Pm
1.097 1.097 2.862 Pm
1.097 -1.097 8.709 Pm
2.244 2.244 5.701 Pm
-2.244 2.244 5.871 Pm
-1.097 1.097 8.709 Pm
4.433 0.000 2.893 Pr
0.000 0.000 5.786 Pr
0.000 4.433 2.893 Pr
0.000 0.000 0.000 Dy
```

## Properties
* formation energy from the elements: 6.63 eV/f.u.
* E_tot: -4.193 eV/atom

---

[13]
Entry from Alexandria: a relaxed structure of Sm4Zn5Cu2 (PBE-GGA).

Cell and atoms, written as POSCAR:
```
Sm4Zn5Cu2
1.0
7.061 0.000 0.000
0.000 3.754 0.000
-0.603 0.000 9.087
Sm Zn Cu
4 5 2
Cartesian
1.019 0.000 3.385 Sm
1.236 0.000 8.534 Sm
5.222 0.000 0.552 Sm
5.438 0.000 5.702 Sm
1.011 1.877 5.994 Zn
2.991 1.877 1.853 Zn
3.229 1.877 4.543 Zn
3.467 1.877 7.234 Zn
5.446 1.877 3.093 Zn
0.362 1.877 1.225 Cu
6.096 1.877 7.862 Cu
```

## Properties
* formation energy from the elements: -2.63 eV/f.u.
* E_tot: -3.279 eV/atom

---

[14]
Entry from Alexandria: a relaxed structure of TbCe2Pb9 (PBE-GGA).

Cell and atoms, written as POSCAR:
```
TbCe2Pb9
1.0
4.907 0.000 0.000
0.000 4.907 0.000
0.000 0.000 14.675
Tb Ce Pb
1 2 9
Cartesian
0.000 0.000 0.000 Tb
0.000 0.000 4.917 Ce
0.000 0.000 9.758 Ce
0.000 2.453 2.423 Pb
0.000 2.453 7.337 Pb
0.000 2.453 12.252 Pb
2.453 0.000 2.423 Pb
2.453 0.000 7.337 Pb
2.453 0.000 12.252 Pb
2.453 2.453 0.000 Pb
2.453 2.453 4.881 Pb
2.453 2.453 9.794 Pb
```

## Properties
* formation energy from the elements: -3.97 eV/f.u.
* E_tot: -4.487 eV/atom

---

[15]
Entry from Alexandria: a relaxed structure of NaReNi (PBE-GGA).

Cell and atoms, written as POSCAR:
```
NaReNi
1.0
5.320 0.000 0.000
-2.660 4.607 0.000
0.000 0.000 8.951
Na Re Ni
2 2 2
Cartesian
0.000 3.071 2.238 Na
2.660 1.536 6.713 Na
0.000 0.000 2.238 Re
0.000 0.000 6.713 Re
0.000 0.000 0.000 Ni
0.000 0.000 4.475 Ni
```

## Properties
* ΔE to the lowest computed polymorph: 2.099 eV per atom
* formation energy from the elements: 7.03 eV/f.u.
* E_tot: -4.172 eV/atom

---

[16]
Entry from Alexandria: a relaxed structure of NaAcP2Pt4 (PBE-GGA).

Cell and atoms, written as POSCAR:
```
NaAcP2Pt4
1.0
4.089 0.000 0.000
0.000 4.089 0.000
0.000 0.000 10.335
Na Ac P Pt
1 1 2 4
Cartesian
0.000 0.000 0.000 Na
0.000 0.000 5.168 Ac
2.044 2.044 1.586 P
2.044 2.044 8.749 P
0.000 2.044 2.749 Pt
0.000 2.044 7.586 Pt
2.044 0.000 2.749 Pt
2.044 0.000 7.586 Pt
```

## Properties
* formation energy from the elements: -5.28 eV/f.u.
* E_tot: -5.712 eV/atom

---

[17]
Entry from Alexandria: a relaxed structure of Pm2GaRu2 (PBE-GGA).

Cell and atoms, written as POSCAR:
```
Pm2GaRu2
1.0
4.990 -2.803 0.000
4.990 2.803 0.000
-2.098 0.000 7.645
Pm Ga Ru
4 2 4
Cartesian
1.752 1.950 6.543 Pm
5.080 1.950 4.924 Pm
2.801 -1.950 2.721 Pm
6.129 -1.950 1.102 Pm
4.465 0.669 1.911 Ga
3.416 -0.669 5.734 Ga
2.585 0.849 3.714 Ru
6.346 0.849 0.109 Ru
1.536 -0.849 7.536 Ru
5.297 -0.849 3.931 Ru
```

## Properties
* ΔE to the lowest computed polymorph: 0.000 eV per atom
* formation energy from the elements: -2.03 eV/f.u.
* E_tot: -6.621 eV/atom

---

[18]
Entry from Alexandria: a relaxed structure of KMnMo2 (PBE-GGA).

Cell and atoms, written as POSCAR:
```
KMnMo2
1.0
1.541 0.890 10.086
-1.541 0.890 10.086
0.000 -1.779 10.086
K Mn Mo
1 1 2
Cartesian
0.000 0.000 0.000 K
0.000 0.000 6.978 Mn
0.000 0.000 15.043 Mo
0.000 0.000 23.303 Mo
```

## Properties
* ΔE to the lowest computed polymorph: 0.096 eV per atom
* formation energy from the elements: 3.40 eV/f.u.
* E_tot: -7.133 eV/atom

---

[19]
Entry from Alexandria: a relaxed structure of Mg5Tl (PBE-GGA).

Cell and atoms, written as POSCAR:
```
Mg5Tl
1.0
5.070 0.000 0.000
-2.535 4.391 0.000
0.000 0.000 6.342
Mg Tl
5 1
Cartesian
0.000 0.000 0.000 Mg
0.000 0.000 3.095 Mg
0.000 2.927 0.948 Mg
2.535 1.464 1.885 Mg
2.535 1.464 5.124 Mg
0.000 2.927 4.118 Tl
```

## Properties
* ΔE to the lowest computed polymorph: 0.021 eV per atom
* formation energy from the elements: 0.01 eV/f.u.
* E_tot: -1.721 eV/atom

---

[20]
Entry from Alexandria: a relaxed structure of CuSn (PBE-GGA).

Cell and atoms, written as POSCAR:
```
CuSn
1.0
4.413 0.000 0.000
0.000 10.510 0.000
0.000 0.000 5.260
Cu Sn
6 6
Cartesian
1.103 0.157 0.741 Cu
1.103 2.627 1.444 Cu
1.103 5.098 0.741 Cu
3.310 5.412 4.519 Cu
3.310 7.882 3.816 Cu
3.310 10.353 4.519 Cu
1.103 0.962 3.419 Sn
1.103 4.293 3.419 Sn
1.103 7.882 5.253 Sn
3.310 2.627 0.007 Sn
3.310 6.217 1.840 Sn
3.310 9.548 1.840 Sn
```

## Properties
* formation energy from the elements: 0.18 eV/f.u.
* E_tot: -3.961 eV/atom